Arrangement P

A plane-wave DFT calculation with GGA-PBE was carried out for a geometry-optimized MnZn2Cl structure.

Geometry as POSCAR:
```
MnZn2Cl
1.0
7.7957 0.0000 0.0000
0.0000 7.7957 0.0000
3.8979 3.8979 2.5615
Zn Mn Cl
4 2 2
Cartesian
5.9792 1.9489 0.6404
1.8165 5.8468 0.6404
5.8468 5.7144 1.9211
9.7447 9.8771 1.9211
0.0000 0.0000 0.0000
7.7957 3.8979 1.2808
3.8979 3.8979 0.0000
3.8979 7.7957 1.2808
```

Computed properties:
**N(E_F)**: 4.5 states/eV per cell


Arrangement Q

A plane-wave DFT calculation with GGA-PBE was carried out for a geometry-optimized MnZn2Cl structure.

Geometry as POSCAR:
```
MnZn2Cl
1.0
8.1256 0.0107 0.0063
7.5096 3.1035 0.0063
7.5096 1.4957 2.7193
Cl Mn Zn
1 1 2
Cartesian
5.7862 1.1525 0.6830
17.3585 3.4574 2.0490
0.0331 0.0066 0.0039
11.5393 2.2984 1.3621
```

Computed properties:
**N(E_F)**: 2.6 states/eV per cell


Arrangement R

A plane-wave DFT calculation with GGA-PBE was carried out for a geometry-optimized MnZn2Cl structure.

Geometry as POSCAR:
```
MnZn2Cl
1.0
-0.5557 -4.7479 6.6630
2.6213 -5.0760 5.8830
1.6200 -2.4868 7.6445
Cl Mn Zn
1 1 2
Cartesian
1.7784 -5.9402 9.7423
2.7602 -9.2196 15.1208
0.0154 -0.0514 0.0843
0.9745 -3.2550 5.3384
```

Computed properties:
**N(E_F)**: 1.4 states/eV per cell


Arrangement S

A plane-wave DFT calculation with GGA-PBE was carried out for a geometry-optimized MnZn2Cl structure.

Geometry as POSCAR:
```
MnZn2Cl
1.0
3.0249 -0.0002 0.0000
-1.0943 2.8200 0.0000
0.0000 0.0000 7.9267
Cl Mn Zn
1 1 2
Cartesian
0.9653 1.4099 1.9817
0.9653 1.4099 5.9451
0.0000 0.0000 7.8656
0.0000 0.0000 4.0245
```

Computed properties:
**N(E_F)**: 2.6 states/eV per cell


Most stable one: arrangement R, least stable one: arrangement P.


Arrangement P

A plane-wave DFT calculation with GGA-PBE was carried out for a geometry-optimized MnZn2Cl structure.

Geometry as POSCAR:
```
MnZn2Cl
1.0
5.9894 0.0399 0.0000
3.7202 4.6941 0.0000
-4.8548 -2.3670 2.5889
Cl Mn Zn
1 1 2
Cartesian
1.8601 2.3470 1.2945
2.9947 0.0200 1.2945
0.0000 0.0000 0.0000
4.8548 2.3670 0.0000
```

Computed properties:
**N(E_F)**: 1.8 states/eV per cell


Arrangement Q

A plane-wave DFT calculation with GGA-PBE was carried out for a geometry-optimized MnZn2Cl structure.

Geometry as POSCAR:
```
MnZn2Cl
1.0
4.5670 0.0000 0.0000
0.0000 3.1047 0.0588
0.0000 -0.0942 4.9042
Cl Mn Zn
1 1 2
Cartesian
0.0000 1.8871 2.7469
2.2835 1.8707 3.7099
0.0000 0.2925 4.8193
2.2835 0.3713 1.0727
```

Computed properties:
**N(E_F)**: 1.2 states/eV per cell


Most stable one: arrangement Q, least stable one: arrangement P.


Arrangement P

A plane-wave DFT calculation with GGA-PBE was carried out for a geometry-optimized MnZn2Cl structure.

Geometry as POSCAR:
```
MnZn2Cl
1.0
-4.4198 -1.5488 1.6716
0.6229 0.1664 -4.9307
1.0438 -2.9393 0.0336
Cl Mn Zn
1 1 2
Cartesian
-1.6880 -2.2441 0.8526
0.8334 -1.3864 -2.4485
0.0000 0.0000 0.0000
-1.8985 -0.6912 -1.6296
```

Computed properties:
**N(E_F)**: 1.7 states/eV per cell


Arrangement Q

A plane-wave DFT calculation with GGA-PBE was carried out for a geometry-optimized MnZn2Cl structure.

Geometry as POSCAR:
```
MnZn2Cl
1.0
5.5597 0.0136 -0.0049
2.4427 4.9943 0.0049
-3.2334 -3.7309 2.5565
Cl Mn Zn
1 1 2
Cartesian
3.6952 2.3125 0.0000
1.6454 1.9088 1.2807
0.1814 0.1135 0.0000
3.2482 -0.5538 1.2758
```

Computed properties:
**N(E_F)**: 1.8 states/eV per cell


Arrangement R

A plane-wave DFT calculation with GGA-PBE was carried out for a geometry-optimized MnZn2Cl structure.

Geometry as POSCAR:
```
MnZn2Cl
1.0
6.2101 0.0255 0.0770
5.5017 2.8805 0.0770
1.4813 0.3676 4.0361
Cl Mn Zn
1 1 2
Cartesian
9.8948 2.4552 3.1426
3.2983 0.8184 1.0475
11.3876 2.8256 0.2796
6.9207 1.7172 1.9696
```

Computed properties:
**N(E_F)**: 1.5 states/eV per cell


Arrangement S

A plane-wave DFT calculation with GGA-PBE was carried out for a geometry-optimized MnZn2Cl structure.

Geometry as POSCAR:
```
MnZn2Cl
1.0
-1.4531 2.4614 0.4838
-3.5659 -1.7970 -1.5680
-1.3736 -1.8392 5.2318
Cl Mn Zn
1 1 2
Cartesian
-1.4133 0.3111 2.8578
-2.4698 -1.8181 1.8319
0.0000 0.0000 0.0000
-2.5095 0.3322 -0.5421
```

Computed properties:
**N(E_F)**: 1.6 states/eV per cell


Most stable one: arrangement Q, least stable one: arrangement S.